Compound: V3AsN
Source: the Alexandria database
Functional: PBE
Structure: relaxed

abc: 5.315 5.315 7.627
angles: 90.00 90.00 145.92
Atoms (fractional coordinates):
V: 0.038 0.962 0.750
V: 0.376 0.624 0.548
V: 0.376 0.624 0.952
V: 0.624 0.376 0.048
V: 0.624 0.376 0.452
V: 0.962 0.038 0.250
As: 0.259 0.741 0.250
As: 0.741 0.259 0.750
N: 0.000 0.000 0.000
N: 0.000 0.000 0.500

Symmetry: Cmcm
Electronic total energy (eV per atom): -8.82
Mass density (g/cm3): 6.65
Raw formation energy (kJ per mole of atoms): -72.8
Magnetic moment (μB/cell): 0.00